i.
CuSiMo3: optimized geometry, PBE.

Computed properties:
**Density of states at the Fermi level**: 8.8 states/eV per cell
**Space group**: Pm-3m (221)

abc: 4.480 4.480 4.480
angles: 90.00 90.00 90.00
Positions (direct):
1 Cu 0.000 0.000 0.000
2 Si 0.500 0.500 0.500
3 Mo 0.000 0.500 0.500
4 Mo 0.500 0.000 0.500
5 Mo 0.500 0.500 0.000

=====

ii.
CuSiMo3: optimized geometry, PBE.

Computed properties:
**Density of states at the Fermi level**: 6.2 states/eV per cell
**Space group**: Pm-3m (221)

abc: 4.477 4.477 4.477
angles: 90.00 90.00 90.00
Positions (direct):
1 Cu 0.000 0.000 0.000
2 Si 0.500 0.500 0.500
3 Mo 0.000 0.000 0.500
4 Mo 0.000 0.500 0.000
5 Mo 0.500 0.000 0.000

=====

The structure with the least stability is ii.

=====

i.
CuSiMo: optimized geometry, PBE.

Computed properties:
**Density of states at the Fermi level**: 2.1 states/eV per cell
**Space group**: I4mm (107)

abc: 6.026 6.026 6.026
angles: 154.26 154.26 36.73
Positions (direct):
1 Cu 0.000 0.000 0.000
2 Si 0.653 0.653 0.000
3 Mo 0.321 0.321 0.000

=====

ii.
CuSiMo: optimized geometry, PBE.

Computed properties:
**Density of states at the Fermi level**: 1.1 states/eV per cell
**Space group**: P3m1 (156)

abc: 2.774 2.774 6.300
angles: 90.00 90.00 120.00
Positions (direct):
1 Cu 0.000 0.000 0.000
2 Si 0.333 0.667 0.691
3 Mo 0.667 0.333 0.356

=====

iii.
CuSiMo: optimized geometry, PBE.

Computed properties:
**Density of states at the Fermi level**: 2.9 states/eV per cell
**Space group**: F-43m (216)

abc: 4.016 4.016 4.016
angles: 60.00 60.00 60.00
Positions (direct):
1 Cu 0.000 0.000 0.000
2 Si 0.750 0.750 0.750
3 Mo 0.500 0.500 0.500

=====

iv.
CuSiMo: optimized geometry, PBE.

Computed properties:
**Density of states at the Fermi level**: 2.6 states/eV per cell
**Space group**: Imm2 (44)

abc: 4.951 4.951 4.951
angles: 148.17 140.36 51.71
Positions (direct):
1 Cu 0.000 0.000 0.000
2 Si 0.360 0.360 0.000
3 Mo 0.686 0.686 0.000

=====

The structure with the least stability is i.

=====

i.
CuSiMo: optimized geometry, PBE.

Computed properties:
**Density of states at the Fermi level**: 2.4 states/eV per cell
**Space group**: P-6m2 (187)

abc: 4.127 4.127 2.724
angles: 90.00 90.00 120.00
Positions (direct):
1 Cu 0.000 0.000 0.000
2 Si 0.333 0.667 0.000
3 Mo 0.667 0.333 0.500

=====

ii.
CuSiMo: optimized geometry, PBE.

Computed properties:
**Density of states at the Fermi level**: 2.5 states/eV per cell
**Space group**: Fmm2 (42)

abc: 6.253 6.096 2.723
angles: 80.52 74.04 25.44
Positions (direct):
1 Cu 0.000 0.000 0.000
2 Si 0.345 0.345 0.655
3 Mo 0.682 0.682 0.318

=====

The structure with the least stability is ii.

=====

i.
CuSnMo3: optimized geometry, PBE.

Computed properties:
**Density of states at the Fermi level**: 6.1 states/eV per cell
**Space group**: Pm-3m (221)

abc: 4.550 4.550 4.550
angles: 90.00 90.00 90.00
Positions (direct):
1 Cu 0.000 0.000 0.000
2 Sn 0.500 0.500 0.500
3 Mo 0.000 0.000 0.500
4 Mo 0.000 0.500 0.000
5 Mo 0.500 0.000 0.000

=====

ii.
CuSnMo3: optimized geometry, PBE.

Computed properties:
**Density of states at the Fermi level**: 8.3 states/eV per cell
**Space group**: Pm-3m (221)

abc: 4.894 4.894 4.894
angles: 90.00 90.00 90.00
Positions (direct):
1 Cu 0.000 0.000 0.000
2 Sn 0.500 0.500 0.500
3 Mo 0.000 0.500 0.500
4 Mo 0.500 0.000 0.500
5 Mo 0.500 0.500 0.000

=====

The structure with the least stability is ii.

=====

i.
SrCuMo3: optimized geometry, PBE.

Computed properties:
**Density of states at the Fermi level**: 8.3 states/eV per cell
**Space group**: Pm-3m (221)

abc: 4.733 4.733 4.733
angles: 90.00 90.00 90.00
Positions (direct):
1 Sr 0.000 0.000 0.000
2 Cu 0.500 0.500 0.500
3 Mo 0.000 0.500 0.500
4 Mo 0.500 0.000 0.500
5 Mo 0.500 0.500 0.000

=====

ii.
SrCuMo3: optimized geometry, PBE.

Computed properties:
**Density of states at the Fermi level**: 7.8 states/eV per cell
**Space group**: Pm-3m (221)

abc: 4.743 4.743 4.743
angles: 90.00 90.00 90.00
Positions (direct):
1 Sr 0.000 0.000 0.000
2 Cu 0.500 0.500 0.500
3 Mo 0.000 0.000 0.500
4 Mo 0.000 0.500 0.000
5 Mo 0.500 0.000 0.000

=====

The structure with the least stability is ii.

=====

i.
SrCuMo: optimized geometry, PBE.

Computed properties:
**Density of states at the Fermi level**: 3.1 states/eV per cell
**Space group**: F-43m (216)

abc: 4.963 4.963 4.963
angles: 60.00 60.00 60.00
Positions (direct):
1 Sr 0.000 0.000 0.000
2 Cu 0.250 0.250 0.250
3 Mo 0.750 0.750 0.750

=====

ii.
SrCuMo: optimized geometry, PBE.

Computed properties:
**Density of states at the Fermi level**: 3.6 states/eV per cell
**Space group**: Imm2 (44)

abc: 6.221 6.221 6.221
angles: 152.56 144.67 45.30
Positions (direct):
1 Sr 0.000 0.000 0.000
2 Cu 0.701 0.701 0.000
3 Mo 0.284 0.284 0.000

=====

iii.
SrCuMo: optimized geometry, PBE.

Computed properties:
**Density of states at the Fermi level**: 3.2 states/eV per cell
**Space group**: P-6m2 (187)

abc: 4.910 4.910 2.937
angles: 90.00 90.00 120.00
Positions (direct):
1 Sr 0.000 0.000 0.000
2 Cu 0.667 0.333 0.500
3 Mo 0.333 0.667 0.500

=====

The structure with the least stability is i.